(1)
Li2AlAgRh: relaxed, PBE-GGA.

Raw total energy   -0.2275 Ry/atom
Space group   P4/mmm

Structure (POSCAR):
```
Li2AlAgRh
1.0
4.3027 0.0000 0.0000
0.0000 4.3027 0.0000
0.0000 0.0000 5.1242
Li Al Ag Rh
2 1 1 1
direct
0.0000 0.5000 0.0000 Li
0.5000 0.0000 0.0000 Li
0.0000 0.0000 0.5000 Al
0.5000 0.5000 0.0000 Ag
0.5000 0.5000 0.5000 Rh
```

=====

(2)
MnReAs: relaxed, PBE-GGA.

Raw total energy   -0.6210 Ry/atom
Polymorph energy (0 for the lowest one)   0.69 eV per formula unit
Space group   Imm2

Structure (POSCAR):
```
MnReAs
1.0
-1.4255 1.9328 3.7410
1.4255 -1.9328 3.7410
1.4255 1.9328 -3.7410
Mn Re As
1 1 1
direct
0.0000 0.0000 0.0000 Mn
0.6551 0.6551 0.0000 Re
0.3245 0.3245 0.0000 As
```

=====

Energy of formation from the pure elements per entry: 0.4587, 0.3062 eV/atom